Entry 1:
This record from Alexandria describes a relaxed structure of YReNi2. The functional is GGA-PBE.

a = 4.4664 Å, b = 4.4664 Å, c = 4.4664 Å
α = 60.00°, β = 60.00°, γ = 60.00°
Last column: nearest neighbours and their distance in Å.
Positions (direct):
Y  0.0000  0.0000  0.0000  4 Re 2.74, 4 Ni 2.74
Re  0.2500  0.2500  0.2500  4 Ni 2.74, 4 Y 2.74
Ni  0.5000  0.5000  0.5000  4 Ni 2.74, 4 Re 2.74
Ni  0.7500  0.7500  0.7500  4 Ni 2.74, 4 Y 2.74

Results
energy above the most stable polymorph in this dataset = 200 kJ/mol of formula units
space group = No. 216


Entry 2:
This record from Alexandria describes a relaxed structure of MgIrRh. The functional is GGA-PBE.

a = 2.7960 Å, b = 2.7960 Å, c = 6.6680 Å
α = 90.00°, β = 90.00°, γ = 120.00°
Last column: nearest neighbours and their distance in Å.
Positions (direct):
Mg  0.0000  0.0000  0.0000  3 Rh 2.75, 3 Ir 2.77, 6 Mg 2.80
Ir  0.3333  0.6667  0.6615  3 Rh 2.72, 3 Mg 2.77, 6 Ir 2.80
Rh  0.6667  0.3333  0.3338  3 Ir 2.72, 3 Mg 2.75, 6 Rh 2.80

Results
energy above the most stable polymorph in this dataset = 27 kJ/mol of formula units
space group = No. 156


Entry 3:
This record from Alexandria describes a relaxed structure of CdBi. The functional is GGA-PBE.

a = 8.0245 Å, b = 8.0245 Å, c = 8.0245 Å
α = 109.47°, β = 109.47°, γ = 109.47°
Last column: nearest neighbours and their distance in Å.
Positions (direct):
Cd  0.0000  0.0000  0.6642  4 Bi 2.84-3.00
Cd  0.0000  0.6642  0.0000  4 Bi 2.84-3.00
Cd  0.3358  0.3358  0.3358  4 Bi 2.84-3.00
Cd  0.6642  0.0000  0.0000  4 Bi 2.84-3.00
Bi  0.0000  0.0000  0.3098  4 Cd 2.84-3.00
Bi  0.0000  0.3098  0.0000  4 Cd 2.84-3.00
Bi  0.3098  0.0000  0.0000  4 Cd 2.84-3.00
Bi  0.6902  0.6902  0.6902  4 Cd 2.84-3.00

Results
space group = No. 217


Entry 4:
This record from Alexandria describes a relaxed structure of Pm2Pr2Y5. The functional is GGA-PBE.

a = 10.2282 Å, b = 10.2282 Å, c = 10.2282 Å
α = 84.71°, β = 108.43°, γ = 140.91°
Last column: nearest neighbours and their distance in Å.
Positions (direct):
Pm  0.0027  0.1271  0.1299  4 Y 3.39-3.65, 2 Pr 3.60-3.64, 1 Pm 3.72
Pm  0.0027  0.3729  0.3756  4 Y 3.39-3.65, 2 Pr 3.60-3.64, 1 Pm 3.72
Pm  0.9973  0.6271  0.6244  4 Y 3.39-3.65, 2 Pr 3.60-3.64, 1 Pm 3.72
Pm  0.9973  0.8729  0.8701  4 Y 3.39-3.65, 2 Pr 3.60-3.64, 1 Pm 3.72
Pr  0.4512  0.4512  0.0000  4 Y 3.29-3.62, 2 Pm 3.64
Pr  0.4512  0.9512  0.5000  4 Y 3.29-3.62, 2 Pm 3.64
Pr  0.5407  0.7995  0.2412  4 Y 3.45-3.65, 2 Pm 3.60, 2 Pr 3.84
Pr  0.5583  0.2995  0.7588  4 Y 3.45-3.65, 2 Pm 3.60, 2 Pr 3.84
Y  0.0907  0.0957  0.4949  6 Y 3.28-3.61, 2 Pr 3.45-3.65, 2 Pm 3.60
Y  0.1009  0.4773  0.9084  4 Y 3.24-3.44, 1 Pm 3.42, 2 Pr 3.47-3.62
Y  0.1009  0.6924  0.1236  4 Y 3.24-3.44, 1 Pm 3.42, 2 Pr 3.47-3.62
Y  0.4004  0.1965  0.3097  5 Y 3.24-3.61, 1 Pr 3.29, 1 Pm 3.39
Y  0.4004  0.5906  0.7039  5 Y 3.24-3.61, 1 Pr 3.29, 1 Pm 3.39
Y  0.5688  0.1924  0.0916  4 Y 3.24-3.44, 1 Pm 3.42, 2 Pr 3.47-3.62
Y  0.5688  0.9773  0.8764  4 Y 3.24-3.44, 1 Pm 3.42, 2 Pr 3.47-3.62
Y  0.6008  0.5957  0.5051  6 Y 3.28-3.61, 2 Pr 3.45-3.65, 2 Pm 3.60
Y  0.8867  0.0906  0.6903  5 Y 3.24-3.61, 1 Pr 3.29, 1 Pm 3.39
Y  0.8867  0.6965  0.2961  5 Y 3.24-3.61, 1 Pr 3.29, 1 Pm 3.39

Results
energy above the most stable polymorph in this dataset = 181 kJ/mol of formula units
space group = No. 46


Record order is preserved below.
Density of states at the Fermi level: 0.765; 1.199; 0.809; 1.679 states/eV per atom
Record order is preserved below.
Formation enthalpy at 0 K: 429; -120; 348; 208 meV per atom